Record 1
Crystalline Nb2V3Mo at its relaxed geometry, computed with PBE-GGA.

a = 5.137 Å, b = 5.137 Å, c = 5.102 Å
α = 90.03°, β = 120.21°, γ = 119.98°
Element x y z (fractional)
Nb: 0.751 0.376 0.127
Nb: 0.249 0.624 0.873
V: 0.500 0.500 0.500
V: 0.000 0.000 0.500
V: 0.500 0.000 0.500
Mo: 0.000 0.000 0.000

Values from the calculation:
The value obtained for the energy relative to the elements is -0.096 eV per atom. For the energy, the calculation gives -58.9 eV per formula unit. The space group is No. 166.



Record 2
Crystalline NbV3Mo4 at its relaxed geometry, computed with PBE-GGA.

a = 5.082 Å, b = 5.263 Å, c = 9.376 Å
α = 90.00°, β = 90.00°, γ = 90.00°
Element x y z (fractional)
Nb: 0.877 0.256 0.000
Nb: 0.377 0.744 0.500
V: 0.630 0.800 0.000
V: 0.120 0.925 0.243
V: 0.620 0.075 0.257
V: 0.130 0.200 0.500
V: 0.620 0.075 0.743
V: 0.120 0.925 0.757
Mo: 0.133 0.730 0.000
Mo: 0.377 0.249 0.000
Mo: 0.129 0.414 0.263
Mo: 0.629 0.586 0.237
Mo: 0.877 0.751 0.500
Mo: 0.633 0.270 0.500
Mo: 0.629 0.586 0.763
Mo: 0.129 0.414 0.737

Values from the calculation:
The value obtained for the energy relative to the elements is 0.224 eV per atom. For the energy, the calculation gives -79.0 eV per formula unit. The space group is No. 31.



| no. | excess energy over the best structure of this formula in the dataset (meV per atom) |
| --- | --- |
| 1 | 0 |
| 2 | 332 |